1.
# NbSiPO2 PBE-GGA optimized geometry
data_NbSiPO2
_space_group_name_H-M_alt 'P 4/m m m'
_space_group_IT_number 123
_space_group_name_Hall '-P 4 2'
_cell_length_a 3.456
_cell_length_b 3.456
_cell_length_c 5.513
_cell_angle_alpha 90.00
_cell_angle_beta 90.00
_cell_angle_gamma 90.00
loop_
_atom_site_label
_atom_site_type_symbol
_atom_site_fract_x
_atom_site_fract_y
_atom_site_fract_z
_atom_site_occupancy
Nb1 Nb 0.000 0.000 0.000 1
Si1 Si 0.500 0.500 0.500 1
P1 P 0.500 0.500 0.000 1
O1 O 0.000 0.500 0.500 1
# crystal system = tetragonal
# uncorrected formation energy = -900 meV per atom



2.
# RbNb2Zn PBE-GGA optimized geometry
data_RbNb2Zn
_space_group_name_H-M_alt 'I -4 2 d'
_space_group_IT_number 122
_space_group_name_Hall 'I -4 2bw'
_cell_length_a 4.846
_cell_length_b 4.846
_cell_length_c 20.971
_cell_angle_alpha 90.00
_cell_angle_beta 90.00
_cell_angle_gamma 90.00
loop_
_atom_site_label
_atom_site_type_symbol
_atom_site_fract_x
_atom_site_fract_y
_atom_site_fract_z
_atom_site_occupancy
Rb1 Rb 0.000 0.000 0.000 1
Nb1 Nb 0.003 0.250 0.625 1
Zn1 Zn 0.000 0.000 0.500 1
# crystal system = tetragonal
# formation energy from the elements = 1343.0 meV/atom



3.
# TbTi2V PBE-GGA optimized geometry
data_TbTi2V
_space_group_name_H-M_alt 'P 4/m m m'
_space_group_IT_number 123
_space_group_name_Hall '-P 4 2'
_cell_length_a 3.301
_cell_length_b 3.301
_cell_length_c 7.125
_cell_angle_alpha 90.00
_cell_angle_beta 90.00
_cell_angle_gamma 90.00
loop_
_atom_site_label
_atom_site_type_symbol
_atom_site_fract_x
_atom_site_fract_y
_atom_site_fract_z
_atom_site_occupancy
Tb1 Tb 0.000 0.000 0.000 1
Ti1 Ti 0.500 0.500 0.309 1
V1 V 0.000 0.000 0.500 1
# crystal system = tetragonal
# formation energy from the elements = 169.2 meV/atom



4.
# Pu8TcRh5 PBE-GGA optimized geometry
data_Pu8TcRh5
_space_group_name_H-M_alt 'I -4'
_space_group_IT_number 82
_cell_length_a 8.450
_cell_length_b 8.450
_cell_length_c 8.509
_cell_angle_alpha 90.00
_cell_angle_beta 90.00
_cell_angle_gamma 90.00
loop_
_space_group_symop_operation_xyz
'x,y,z'
'y,-x,-z'
'-x,-y,z'
'-y,x,-z'
'x+1/2,y+1/2,z+1/2'
'y+1/2,-x+1/2,-z+1/2'
'-x+1/2,-y+1/2,z+1/2'
'-y+1/2,x+1/2,-z+1/2'
loop_
_atom_site_label
_atom_site_type_symbol
_atom_site_fract_x
_atom_site_fract_y
_atom_site_fract_z
_atom_site_occupancy
Pu1 Pu 0.065 0.322 0.447 1
Pu2 Pu 0.076 0.186 0.804 1
Tc1 Tc 0.000 0.500 0.750 1
Rh1 Rh 0.000 0.000 0.500 1
Rh2 Rh 0.120 0.242 0.130 1
# crystal system = tetragonal
# formation energy from the elements = -285.3 meV/atom



5.
# Co2PtBr PBE-GGA optimized geometry
data_Co2PtBr
_space_group_name_H-M_alt 'I m m m'
_space_group_IT_number 71
_space_group_name_Hall '-I 2 2'
_cell_length_a 2.937
_cell_length_b 4.648
_cell_length_c 8.712
_cell_angle_alpha 90.00
_cell_angle_beta 90.00
_cell_angle_gamma 90.00
loop_
_atom_site_label
_atom_site_type_symbol
_atom_site_fract_x
_atom_site_fract_y
_atom_site_fract_z
_atom_site_occupancy
Co1 Co 0.000 0.000 0.239 1
Pt1 Pt 0.000 0.500 0.000 1
Br1 Br 0.000 0.500 0.500 1
# crystal system = orthorhombic
# uncorrected formation energy = 766 meV per atom



6.
# AcTb6Ho8 PBE-GGA optimized geometry
data_AcTb6Ho8
_space_group_name_H-M_alt 'R -3'
_space_group_IT_number 148
_space_group_name_Hall '-R 3'
_cell_length_a 9.0368
_cell_length_b 9.0368
_cell_length_c 20.7644
_cell_angle_alpha 90.00
_cell_angle_beta 90.00
_cell_angle_gamma 120.00
loop_
_atom_site_label
_atom_site_type_symbol
_atom_site_fract_x
_atom_site_fract_y
_atom_site_fract_z
_atom_site_occupancy
Ac1 Ac 0.0000 0.0000 0.0000 1
Tb1 Tb 0.0539 0.8123 0.7088 1
Ho1 Ho 0.0000 0.0000 0.4232 1
Ho2 Ho 0.0794 0.5275 0.8088 1
# crystal system = trigonal
# formation energy from the elements = 149.8 meV/atom



7.
# NbHgN3 PBE-GGA optimized geometry
data_NbHgN3
_space_group_name_H-M_alt 'P m -3 m'
_space_group_IT_number 221
_space_group_name_Hall '-P 4 2 3'
_cell_length_a 4.037
_cell_length_b 4.037
_cell_length_c 4.037
_cell_angle_alpha 90.00
_cell_angle_beta 90.00
_cell_angle_gamma 90.00
loop_
_atom_site_label
_atom_site_type_symbol
_atom_site_fract_x
_atom_site_fract_y
_atom_site_fract_z
_atom_site_occupancy
Nb1 Nb 0.000 0.000 0.000 1
Hg1 Hg 0.500 0.500 0.500 1
N1 N 0.000 0.500 0.500 1
# crystal system = cubic
# uncorrected formation energy = 2326 meV per atom



8.
# TlInS3 PBE-GGA optimized geometry
data_TlInS3
_space_group_name_H-M_alt 'R -3'
_space_group_IT_number 148
_space_group_name_Hall '-R 3'
_cell_length_a 6.7636
_cell_length_b 6.7636
_cell_length_c 18.1538
_cell_angle_alpha 90.00
_cell_angle_beta 90.00
_cell_angle_gamma 120.00
loop_
_atom_site_label
_atom_site_type_symbol
_atom_site_fract_x
_atom_site_fract_y
_atom_site_fract_z
_atom_site_occupancy
Tl1 Tl 0.0000 0.0000 0.1288 1
In1 In 0.0000 0.0000 0.3495 1
S1 S 0.0182 0.7141 0.2500 1
# crystal system = trigonal
# uncorrected formation energy = -264 meV per atom



9.
# CdCu PBE-GGA optimized geometry
data_CdCu
_space_group_name_H-M_alt 'I m m m'
_space_group_IT_number 71
_space_group_name_Hall '-I 2 2'
_cell_length_a 4.246
_cell_length_b 4.622
_cell_length_c 11.784
_cell_angle_alpha 90.00
_cell_angle_beta 90.00
_cell_angle_gamma 90.00
loop_
_atom_site_label
_atom_site_type_symbol
_atom_site_fract_x
_atom_site_fract_y
_atom_site_fract_z
_atom_site_occupancy
Cd1 Cd 0.000 0.000 0.000 1
Cd2 Cd 0.000 0.000 0.252 1
Cu1 Cu 0.000 0.000 0.500 1
Cu2 Cu 0.000 0.500 0.110 1
# crystal system = orthorhombic
# formation energy from the elements = 142.5 meV/atom



10.
# SmSc4Tl4 PBE-GGA optimized geometry
data_SmSc4Tl4
_space_group_name_H-M_alt 'P 42/n m c'
_space_group_IT_number 137
_cell_length_a 6.968
_cell_length_b 6.968
_cell_length_c 10.081
_cell_angle_alpha 90.00
_cell_angle_beta 90.00
_cell_angle_gamma 90.00
loop_
_space_group_symop_operation_xyz
'x,y,z'
'-x,-y,-z'
'-y+1/2,x,z+1/2'
'y+1/2,-x,-z+1/2'
'-x+1/2,-y+1/2,z'
'x+1/2,y+1/2,-z'
'y,-x+1/2,z+1/2'
'-y,x+1/2,-z+1/2'
'x+1/2,-y,-z'
'-x+1/2,y,z'
'-y,-x,-z+1/2'
'y,x,z+1/2'
'-x,y+1/2,-z'
'x,-y+1/2,z'
'y+1/2,x+1/2,-z+1/2'
'-y+1/2,-x+1/2,z+1/2'
loop_
_atom_site_label
_atom_site_type_symbol
_atom_site_fract_x
_atom_site_fract_y
_atom_site_fract_z
_atom_site_occupancy
Sm1 Sm 0.250 0.750 0.250 1
Sc1 Sc 0.018 0.250 0.165 1
Tl1 Tl 0.029 0.250 0.462 1
# crystal system = tetragonal
# formation energy from the elements = -99.4 meV/atom



11.
# Cs2PaHg2I6 PBE-GGA optimized geometry
data_Cs2PaHg2I6
_space_group_name_H-M_alt 'C 1 2/m 1'
_space_group_IT_number 12
_cell_length_a 9.275
_cell_length_b 16.565
_cell_length_c 9.257
_cell_angle_alpha 90.00
_cell_angle_beta 115.01
_cell_angle_gamma 90.00
loop_
_space_group_symop_operation_xyz
'x,y,z'
'-x,-y,-z'
'-x,y,-z'
'x,-y,z'
'x+1/2,y+1/2,z'
'-x+1/2,-y+1/2,-z'
'-x+1/2,y+1/2,-z'
'x+1/2,-y+1/2,z'
loop_
_atom_site_label
_atom_site_type_symbol
_atom_site_fract_x
_atom_site_fract_y
_atom_site_fract_z
_atom_site_occupancy
Cs1 Cs 0.000 0.170 0.000 1
Pa1 Pa 0.000 0.500 0.000 1
Hg1 Hg 0.000 0.309 0.500 1
I1 I 0.184 0.500 0.794 1
I2 I 0.220 0.369 0.212 1
# crystal system = monoclinic
# uncorrected formation energy = -1007 meV per atom



12.
# TmAl2Fe2Ge PBE-GGA optimized geometry
data_TmAl2Fe2Ge
_space_group_name_H-M_alt 'P 4/m m m'
_space_group_IT_number 123
_space_group_name_Hall '-P 4 2'
_cell_length_a 4.373
_cell_length_b 4.373
_cell_length_c 5.508
_cell_angle_alpha 90.00
_cell_angle_beta 90.00
_cell_angle_gamma 90.00
loop_
_atom_site_label
_atom_site_type_symbol
_atom_site_fract_x
_atom_site_fract_y
_atom_site_fract_z
_atom_site_occupancy
Tm1 Tm 0.000 0.000 0.000 1
Al1 Al 0.500 0.500 0.246 1
Fe1 Fe 0.000 0.500 0.500 1
Ge1 Ge 0.000 0.000 0.500 1
# crystal system = tetragonal
# formation energy from the elements = -102.0 meV/atom